[1]
A relaxed structure of NaSi2H3O6. Source: the Alexandria database, functional PBE.

Calculated values
raw total energy	-306.06	eV per cell
magnetic moment	0.055	μB/f.u.

a b c (Å): 9.8124 8.9447 12.2600
angles (deg): 52.33 46.18 81.49
Atoms (fractional coordinates):
Na1 0.3774 0.6226 0.5967
Na2 0.6226 0.3774 0.4033
Na3 0.6533 0.8467 0.8726
Na4 0.8467 0.6533 0.6274
Si1 0.1010 0.3678 0.0825
Si2 0.1156 0.3619 0.4330
Si3 0.1605 0.8170 0.8881
Si4 0.1675 0.8012 0.1490
Si5 0.3619 0.1156 0.0895
Si6 0.3678 0.1010 0.4488
Si7 0.8012 0.1675 0.8822
Si8 0.8170 0.1605 0.1344
H1 0.2417 0.9174 0.4071
H2 0.2764 0.5072 0.4831
H3 0.5072 0.2764 0.7332
H4 0.5131 0.7082 0.2607
H5 0.5168 0.7669 0.7428
H6 0.7082 0.5131 0.5180
H7 0.7320 0.9893 0.5418
H8 0.7669 0.5168 0.9736
H9 0.8163 0.8429 0.3326
H10 0.8429 0.8163 0.0083
H11 0.9174 0.2417 0.4337
H12 0.9893 0.7320 0.7369
O1 0.0179 0.3551 0.6138
O2 0.0425 0.3176 0.0050
O3 0.2100 0.8755 0.9638
O4 0.2097 0.9172 0.3415
O5 0.2368 0.6362 0.8949
O6 0.2450 0.6150 0.2075
O7 0.2622 0.8914 0.5254
O8 0.2862 0.2994 0.0400
O9 0.2994 0.2862 0.3745
O10 0.3176 0.0425 0.6350
O11 0.3551 0.0179 0.0132
O12 0.4168 0.5697 0.4141
O13 0.5697 0.4168 0.5993
O14 0.6150 0.2450 0.9324
O15 0.6362 0.2368 0.2321
O16 0.6507 0.8359 0.6803
O17 0.7183 0.9085 0.3328
O18 0.7246 0.9289 0.9878
O19 0.8359 0.6507 0.8332
O20 0.8755 0.2100 0.9506
O21 0.8914 0.2622 0.3211
O22 0.9085 0.7183 0.0403
O23 0.9172 0.2097 0.5317
O24 0.9289 0.7246 0.3586



[2]
A relaxed structure of LaAl2Hg. Source: the Alexandria database, functional PBE.

Calculated values
raw total energy	-13.55	eV per cell
E_form	-20.16	kJ per mole of atoms
magnetic moment	0.000	μB/f.u.

a b c (Å): 5.5411 5.5411 5.5411
angles (deg): 131.22 130.18 72.29
Atoms (fractional coordinates):
La1 0.0000 0.0000 0.0000
Al1 0.5193 0.5193 0.0000
Al2 0.7490 0.2490 0.5000
Hg1 0.2543 0.7543 0.5000



[3]
A relaxed structure of Li2PmBiO. Source: the Alexandria database, functional PBE.

Calculated values
raw total energy	-24.82	eV per cell
E_form (uncorrected)	-1.481	eV/atom
magnetic moment	0.000	μB/f.u.

a b c (Å): 4.5131 4.5131 4.7089
angles (deg): 90.00 90.00 90.00
Atoms (fractional coordinates):
Li1 0.0000 0.5000 0.0000
Li2 0.5000 0.0000 0.0000
Pm1 0.0000 0.0000 0.5000
Bi1 0.5000 0.5000 0.5000
O1 0.0000 0.0000 0.0000



[4]
A relaxed structure of ScMoPb. Source: the Alexandria database, functional PBE.

Calculated values
raw total energy	-20.01	eV per cell
E_form	27.71	kJ per mole of atoms
magnetic moment	0.001	μB/f.u.
polymorph energy (0 for the lowest one)	174	meV/atom

a b c (Å): 7.3399 7.1306 3.1214
angles (deg): 81.32 73.82 24.86
Atoms (fractional coordinates):
Sc1 0.0000 0.0000 0.0000
Mo1 0.3499 0.3499 0.6501
Pb1 0.6887 0.6887 0.3113



[5]
A relaxed structure of LiLa2. Source: the Alexandria database, functional PBE.

Calculated values
raw total energy	-22.71	eV per cell
E_form	13.36	kJ per mole of atoms
magnetic moment	0.000	μB/f.u.
polymorph energy (0 for the lowest one)	80	meV/atom

a b c (Å): 5.5223 5.5223 7.1063
angles (deg): 90.00 90.00 120.00
Atoms (fractional coordinates):
Li1 0.3333 0.6667 0.2500
Li2 0.6667 0.3333 0.7500
La1 0.0000 0.0000 0.0000
La2 0.0000 0.0000 0.5000
La3 0.3333 0.6667 0.7500
La4 0.6667 0.3333 0.2500



[6]
A relaxed structure of Er2U2Ru3. Source: the Alexandria database, functional PBE.

Calculated values
raw total energy	-61.80	eV per cell
E_form	-31.34	kJ per mole of atoms
magnetic moment	0.028	μB/f.u.

a b c (Å): 5.6664 5.6664 7.3344
angles (deg): 102.11 102.11 39.16
Atoms (fractional coordinates):
Er1 0.1254 0.1254 0.3706
Er2 0.8746 0.8746 0.6294
U1 0.1637 0.1637 0.9164
U2 0.8363 0.8363 0.0836
Ru1 0.3929 0.3929 0.3339
Ru2 0.5000 0.5000 0.0000
Ru3 0.6071 0.6071 0.6661



[7]
A relaxed structure of EuAgHgSb. Source: the Alexandria database, functional PBE.

Calculated values
raw total energy	-19.33	eV per cell
E_form (uncorrected)	-0.446	eV/atom
magnetic moment	6.973	μB/f.u.

a b c (Å): 5.2502 5.2502 5.2502
angles (deg): 60.00 60.00 60.00
Atoms (fractional coordinates):
Eu1 0.0000 0.0000 0.0000
Ag1 0.5000 0.5000 0.5000
Hg1 0.7500 0.7500 0.7500
Sb1 0.2500 0.2500 0.2500



[8]
A relaxed structure of Mg2Pd3Pt. Source: the Alexandria database, functional PBE.

Calculated values
raw total energy	-28.39	eV per cell
E_form	-57.56	kJ per mole of atoms
magnetic moment	0.000	μB/f.u.
polymorph energy (0 for the lowest one)	0	meV/atom

a b c (Å): 6.4766 6.4766 3.7989
angles (deg): 90.00 90.00 143.41
Atoms (fractional coordinates):
Mg1 0.1561 0.8439 0.0000
Mg2 0.8439 0.1561 0.0000
Pd1 0.0000 0.0000 0.5000
Pd2 0.3303 0.6697 0.5000
Pd3 0.6697 0.3303 0.5000
Pt1 0.5000 0.5000 0.0000